Entry 1:
{"formula": "VCr3Ir12", "functional": "GGA-PBE", "state": "optimized geometry", "lattice": [[-2.2221, 0.1488, -3.1139], [3.1050, -0.2363, -2.2270], [-1.1148, -15.2710, 0.0658]], "species": ["V", "Cr", "Cr", "Cr", "Ir", "Ir", "Ir", "Ir", "Ir", "Ir", "Ir", "Ir", "Ir", "Ir", "Ir", "Ir"], "frac_coords": [[0.0000, 0.0000, 0.0000], [0.0000, 0.0000, 0.2519], [0.0000, 0.0000, 0.5000], [0.0000, 0.0000, 0.7481], [0.5000, 0.5000, 0.0000], [0.5000, 0.5000, 0.2500], [0.5000, 0.5000, 0.5000], [0.5000, 0.5000, 0.7500], [0.5000, 0.0000, 0.1250], [0.5000, 0.0000, 0.3747], [0.5000, 0.0000, 0.6253], [0.5000, 0.0000, 0.8750], [0.0000, 0.5000, 0.1250], [0.0000, 0.5000, 0.3747], [0.0000, 0.5000, 0.6253], [0.0000, 0.5000, 0.8750]], "sg": "P4/mmm"}



Entry 2:
{"formula": "V3CrIr6", "functional": "GGA-PBE", "state": "optimized geometry", "lattice": [[4.3412, 0.0000, 0.0000], [0.0000, 6.6677, -2.7650], [0.0000, -0.3811, 9.7413]], "species": ["V", "V", "V", "V", "V", "V", "Cr", "Cr", "Ir", "Ir", "Ir", "Ir", "Ir", "Ir", "Ir", "Ir", "Ir", "Ir", "Ir", "Ir"], "frac_coords": [[0.2500, 0.5631, 0.3696], [0.7500, 0.4369, 0.6304], [0.2500, 0.3475, 0.7633], [0.7500, 0.6525, 0.2367], [0.2500, 0.7670, 0.9673], [0.7500, 0.2330, 0.0327], [0.2500, 0.9720, 0.5634], [0.7500, 0.0280, 0.4366], [0.2500, 0.4641, 0.0721], [0.7500, 0.5359, 0.9279], [0.2500, 0.1662, 0.1687], [0.7500, 0.8338, 0.8313], [0.2500, 0.6661, 0.6685], [0.7500, 0.3339, 0.3315], [0.2500, 0.2607, 0.4732], [0.7500, 0.7393, 0.5268], [0.2500, 0.8647, 0.2747], [0.7500, 0.1353, 0.7253], [0.2500, 0.0669, 0.8667], [0.7500, 0.9331, 0.1333]], "sg": "P2_1/m"}



Entry 3:
{"formula": "V2CrIr2", "functional": "GGA-PBE", "state": "optimized geometry", "lattice": [[7.2622, 0.0000, 0.0000], [0.0000, 7.2622, 0.0000], [0.0000, 0.0000, 2.8306]], "species": ["Cr", "Cr", "Ir", "Ir", "Ir", "Ir", "V", "V", "V", "V"], "frac_coords": [[0.0000, 0.0000, 0.0000], [0.5000, 0.5000, 0.0000], [0.3653, 0.8653, 0.0000], [0.8653, 0.6347, 0.0000], [0.6347, 0.1347, 0.0000], [0.1347, 0.3653, 0.0000], [0.1641, 0.6641, 0.5000], [0.6641, 0.8359, 0.5000], [0.8359, 0.3359, 0.5000], [0.3359, 0.1641, 0.5000]], "de_polymorph_mev_per_atom": 0, "sg": "P4/mbm"}



Entry 4:
{"formula": "VCr3Ir", "functional": "GGA-PBE", "state": "optimized geometry", "lattice": [[-3.4844, 2.8634, 1.3513], [-3.0904, -2.6384, -2.3778], [-0.6889, -2.6468, 3.8322]], "species": ["Cr", "Cr", "Cr", "Ir", "V"], "frac_coords": [[0.0000, 0.5000, 0.0000], [0.0000, 0.0000, 0.5000], [0.5000, 0.0000, 0.0000], [0.0000, 0.0000, 0.0000], [0.5000, 0.5000, 0.5000]], "de_polymorph_mev_per_atom": 285, "sg": "Pm-3m"}



Entry 5:
{"formula": "VCrIr4", "functional": "GGA-PBE", "state": "optimized geometry", "lattice": [[-2.2590, 1.5007, 0.0771], [-3.8918, -5.9351, 1.4891], [1.1736, 1.3356, 8.3904]], "species": ["V", "V", "Cr", "Cr", "Ir", "Ir", "Ir", "Ir", "Ir", "Ir", "Ir", "Ir"], "frac_coords": [[0.0000, 0.1817, 0.2500], [0.0000, 0.8183, 0.7500], [0.0000, 0.5178, 0.2500], [0.0000, 0.4822, 0.7500], [0.5000, 0.3272, 0.0291], [0.5000, 0.3272, 0.4709], [0.5000, 0.6728, 0.9709], [0.5000, 0.6728, 0.5291], [0.5000, 0.8560, 0.2500], [0.5000, 0.1440, 0.7500], [0.0000, 0.0000, 0.0000], [0.0000, 0.0000, 0.5000]], "de_polymorph_mev_per_atom": 0, "sg": "Pmma"}



Entry 6:
{"formula": "V4CrIr", "functional": "GGA-PBE", "state": "optimized geometry", "lattice": [[3.9406, 0.0024, -0.0014], [-0.0012, 4.1133, 0.2166], [0.0019, 0.3319, 5.8270]], "species": ["V", "V", "V", "V", "Cr", "Ir"], "frac_coords": [[0.5010, 0.9685, 0.2629], [0.5016, 0.0260, 0.7335], [0.0014, 0.5147, 0.7278], [0.0012, 0.4799, 0.2685], [0.0013, 0.9974, 0.4981], [0.5013, 0.4973, 0.9981]], "de_polymorph_mev_per_atom": 654, "sg": "P2/m"}



Entry 7:
{"formula": "VCr3Ir", "functional": "GGA-PBE", "state": "optimized geometry", "lattice": [[-2.6281, 2.9272, 1.3107], [-0.3689, -1.9592, 3.6358], [3.1860, 2.1878, 1.5022]], "species": ["Cr", "Cr", "Cr", "Ir", "V"], "frac_coords": [[0.0000, 0.5000, 0.0000], [0.0000, 0.0000, 0.5000], [0.5000, 0.0000, 0.0000], [0.5000, 0.5000, 0.5000], [0.0000, 0.0000, 0.0000]], "de_polymorph_mev_per_atom": 0, "sg": "Pm-3m"}



Entry 8:
{"formula": "VCr2Ir", "functional": "GGA-PBE", "state": "optimized geometry", "lattice": [[3.8186, 0.0000, 0.0000], [0.0000, 3.6870, 0.0000], [0.0000, 0.0000, 3.6870]], "species": ["Cr", "Cr", "Ir", "V"], "frac_coords": [[0.0000, 0.0000, 0.5000], [0.0000, 0.5000, 0.0000], [0.5000, 0.5000, 0.5000], [0.5000, 0.0000, 0.0000]], "de_polymorph_mev_per_atom": 26, "sg": "P4/mmm"}



Entry 9:
{"formula": "V4Cr2Ir", "functional": "GGA-PBE", "state": "optimized geometry", "lattice": [[-3.5744, -1.4287, 2.4731], [1.0563, -4.3421, -0.9817], [2.2780, -3.1466, 5.7069]], "species": ["Cr", "Cr", "Ir", "V", "V", "V", "V"], "frac_coords": [[0.3846, 0.3846, 0.2309], [0.6154, 0.6154, 0.7691], [0.0000, 0.0000, 0.0000], [0.1995, 0.1995, 0.6009], [0.8005, 0.8005, 0.3991], [0.0000, 0.5000, 0.0000], [0.5000, 0.0000, 0.0000]], "sg": "I4/mmm"}



Entry 10:
{"formula": "VCr2Ir", "functional": "GGA-PBE", "state": "optimized geometry", "lattice": [[-2.9139, -1.5275, 1.0877], [1.6461, -3.0464, 0.1315], [1.7902, -0.5944, 9.4809]], "species": ["Cr", "Cr", "Cr", "Cr", "Ir", "Ir", "V", "V"], "frac_coords": [[0.5852, 0.1250, 0.2500], [0.1648, 0.6250, 0.2500], [0.3750, 0.4148, 0.7500], [0.8750, 0.8352, 0.7500], [0.0000, 0.0000, 0.0000], [0.7500, 0.2500, 0.5000], [0.5000, 0.5000, 0.0000], [0.2500, 0.7500, 0.5000]], "de_polymorph_mev_per_atom": 542, "sg": "I-42d"}



Entry 11:
{"formula": "VCrIr3", "functional": "GGA-PBE", "state": "optimized geometry", "lattice": [[-1.4181, -2.1266, 3.4689], [5.9862, -1.9023, 1.2810], [-2.2122, 5.4902, 2.4614]], "species": ["V", "V", "Cr", "Cr", "Ir", "Ir", "Ir", "Ir", "Ir", "Ir"], "frac_coords": [[0.2500, 0.3335, 0.6665], [0.7500, 0.6665, 0.3335], [0.0000, 0.0000, 0.0000], [0.5000, 0.0000, 0.0000], [0.2500, 0.8016, 0.1984], [0.7500, 0.1984, 0.8016], [0.2500, 0.8016, 0.6033], [0.7500, 0.1984, 0.3967], [0.2500, 0.3967, 0.1984], [0.7500, 0.6033, 0.8016]], "de_polymorph_mev_per_atom": 687, "sg": "P6_3/mmc"}



Entry 12:
{"formula": "VCr2Ir3", "functional": "GGA-PBE", "state": "optimized geometry", "lattice": [[3.6983, 0.0000, 0.0000], [0.0000, 3.8065, 0.0000], [0.0000, 0.0000, 11.4564]], "species": ["V", "V", "Cr", "Cr", "Cr", "Cr", "Ir", "Ir", "Ir", "Ir", "Ir", "Ir"], "frac_coords": [[0.0000, 0.5000, 0.5000], [0.0000, 0.0000, 0.0000], [0.0000, 0.0000, 0.6743], [0.0000, 0.0000, 0.3257], [0.0000, 0.5000, 0.1743], [0.0000, 0.5000, 0.8257], [0.5000, 0.5000, 0.6679], [0.5000, 0.0000, 0.5000], [0.5000, 0.5000, 0.3321], [0.5000, 0.0000, 0.1679], [0.5000, 0.5000, 0.0000], [0.5000, 0.0000, 0.8321]], "sg": "Cmmm"}



Entry 13:
{"formula": "VCr2Ir", "functional": "GGA-PBE", "state": "optimized geometry", "lattice": [[2.9123, 0.0000, 0.0000], [0.0000, 2.9123, 0.0000], [0.0000, 0.0000, 6.0591]], "species": ["Cr", "Cr", "Ir", "V"], "frac_coords": [[0.0000, 0.0000, 0.7707], [0.0000, 0.0000, 0.2293], [0.5000, 0.5000, 0.5000], [0.5000, 0.5000, 0.0000]], "de_polymorph_mev_per_atom": 0, "sg": "P4/mmm"}



Entry 14:
{"formula": "V4CrIr", "functional": "GGA-PBE", "state": "optimized geometry", "lattice": [[4.1943, 0.0141, -0.0081], [-0.0083, 3.6510, 2.0795], [0.0109, -0.4001, 4.9473]], "species": ["V", "V", "V", "V", "Cr", "Ir"], "frac_coords": [[0.0000, 0.3334, 0.3332], [0.5000, 0.1680, 0.6640], [0.0000, 0.6666, 0.6668], [0.5000, 0.8320, 0.3360], [0.5000, 0.5000, 0.0000], [0.0000, 0.0000, 0.0000]], "de_polymorph_mev_per_atom": 0, "sg": "Cmmm"}



Entry 15:
{"formula": "VCrIr4", "functional": "GGA-PBE", "state": "optimized geometry", "lattice": [[-3.9272, -5.8136, -2.6763], [-3.7619, -6.4980, -0.0738], [-10.2469, -8.4700, -1.5773]], "species": ["V", "Cr", "Ir", "Ir", "Ir", "Ir"], "frac_coords": [[0.5000, 0.5000, 0.5000], [0.0000, 0.0000, 0.0000], [0.7922, 0.7921, 0.5584], [0.2078, 0.2079, 0.4416], [0.1973, 0.1973, 0.9692], [0.8027, 0.8027, 0.0308]], "de_polymorph_mev_per_atom": 90, "sg": "C2/m"}



Entry 16:
{"formula": "VCr2Ir5", "functional": "GGA-PBE", "state": "optimized geometry", "lattice": [[-5.1026, 0.8492, -1.4315], [1.1205, -3.7500, 3.6728], [2.5830, 3.7246, 2.8745]], "species": ["V", "Cr", "Cr", "Ir", "Ir", "Ir", "Ir", "Ir"], "frac_coords": [[0.7779, 0.7780, 0.0000], [0.2779, 0.7779, 0.5000], [0.7779, 0.2779, 0.5000], [0.2779, 0.2779, 0.5000], [0.2779, 0.7779, 0.0000], [0.7779, 0.2779, 0.0000], [0.7779, 0.7778, 0.5000], [0.2778, 0.2778, 0.0000]], "sg": "Immm"}



Entry 17:
{"formula": "VCr2Ir", "functional": "GGA-PBE", "state": "optimized geometry", "lattice": [[-3.3666, 0.6749, -2.4193], [0.2572, -0.5469, -4.1566], [-1.9632, -3.2380, -1.8177]], "species": ["Cr", "Cr", "Ir", "V"], "frac_coords": [[0.2500, 0.2500, 0.2500], [0.7500, 0.7500, 0.7500], [0.5000, 0.5000, 0.5000], [0.0000, 0.0000, 0.0000]], "de_polymorph_mev_per_atom": 13, "sg": "Fm-3m"}



Entry 18:
{"formula": "VCrIr2", "functional": "GGA-PBE", "state": "optimized geometry", "lattice": [[-3.2329, 1.3175, 2.5323], [-4.0872, -0.5248, -1.2724], [-2.5160, -2.8977, 1.9680]], "species": ["Cr", "Ir", "Ir", "V"], "frac_coords": [[0.5000, 0.5000, 0.5000], [0.2500, 0.2500, 0.2500], [0.7500, 0.7500, 0.7500], [0.0000, 0.0000, 0.0000]], "sg": "Fm-3m"}



Entry 19:
{"formula": "V8Cr3Ir2", "functional": "GGA-PBE", "state": "optimized geometry", "lattice": [[-5.0306, 0.4264, 0.0142], [-0.0396, -0.2473, -6.5728], [0.1995, -5.4622, 3.4955]], "species": ["V", "V", "V", "V", "V", "V", "V", "V", "Cr", "Cr", "Cr", "Ir", "Ir"], "frac_coords": [[0.9187, 0.6008, 0.2017], [0.0813, 0.3992, 0.7983], [0.7779, 0.1848, 0.3696], [0.2221, 0.8152, 0.6304], [0.5619, 0.5728, 0.7752], [0.5619, 0.2023, 0.7752], [0.4381, 0.7977, 0.2248], [0.4381, 0.4272, 0.2248], [0.5000, 0.0000, 0.0000], [0.0000, 0.1938, 0.0000], [0.0000, 0.8062, 0.0000], [0.2532, 0.1997, 0.3994], [0.7468, 0.8003, 0.6006]], "sg": "C2/m"}



Entry 20:
{"formula": "V3CrIr", "functional": "GGA-PBE", "state": "optimized geometry", "lattice": [[4.8874, 0.0000, 0.0000], [2.4437, 4.2050, -0.0937], [2.4437, 1.5948, 6.4220]], "species": ["V", "V", "V", "V", "V", "V", "Cr", "Cr", "Ir", "Ir"], "frac_coords": [[0.9192, 0.1526, 0.4283], [0.5545, 0.2774, 0.0291], [0.3405, 0.5762, 0.6603], [0.0566, 0.2775, 0.0291], [0.9215, 0.6580, 0.4166], [0.4175, 0.1526, 0.4283], [0.9867, 0.2161, 0.7282], [0.0630, 0.7680, 0.0237], [0.4894, 0.7153, 0.2234], [0.6339, 0.8559, 0.7939]], "de_polymorph_mev_per_atom": 0, "sg": "Cm"}



| no. | density of states at the Fermi level (states/eV per cell) | ΔE_f (eV per atom) |
| --- | --- | --- |
| 1 | 14.52 | -0.28 |
| 2 | 18.19 | -0.43 |
| 3 | 10.13 | -0.14 |
| 4 | 9.45 | 1.53 |
| 5 | 9.03 | -0.19 |
| 6 | 7.06 | 0.33 |
| 7 | 7.51 | 1.24 |
| 8 | 5.43 | -0.06 |
| 9 | 7.40 | 1.09 |
| 10 | 7.89 | 0.46 |
| 11 | 9.71 | 0.37 |
| 12 | 8.69 | -0.31 |
| 13 | 3.70 | -0.08 |
| 14 | 2.87 | -0.32 |
| 15 | 6.09 | -0.10 |
| 16 | 8.40 | -0.29 |
| 17 | 5.04 | -0.07 |
| 18 | 2.51 | -0.13 |
| 19 | 14.85 | 0.15 |
| 20 | 9.93 | -0.12 |